(1)
The following is a PBE calculation of Tm3UAg3Te8 after structural relaxation, from Alexandria via LeMat-Bulk.

abc: 8.7248 8.7230 8.6255
angles: 120.52 90.00 120.01
Last column: magnetic moment on the atom in μB.
Positions (direct):
Tm 0.5000 0.0000 0.5000  0.01
Tm 0.5000 0.5000 0.5000  0.01
Te 0.7476 0.4953 0.2502  -0.04
Ag 0.0000 0.0000 0.0000  -0.01
Te 0.7462 0.9986 0.7499  -0.04
Ag 0.5000 0.5000 0.0000  -0.01
Te 0.7476 0.0014 0.2501  -0.04
Te 0.2524 0.9986 0.7499  -0.04
Ag 0.0000 0.5000 0.0000  -0.01
Te 0.2488 0.4977 0.2475  0.00
Te 0.2524 0.5047 0.7498  -0.04
Te 0.7512 0.5023 0.7525  0.00
Te 0.2538 0.0014 0.2501  -0.04
U 0.0000 0.0000 0.5000  2.21
Tm 0.0000 0.5000 0.5000  0.01

energy: -69.81 eV/cell
formation energy (no corrections): -11.42 eV per formula unit
SG: No. 12
DOS(E_F): 0.352 states/eV/atom
crystal system: monoclinic

***

(2)
The following is a PBE calculation of Tm2UAg3Te6 after structural relaxation, from Alexandria via LeMat-Bulk.

abc: 4.4160 10.7351 8.8711
angles: 106.87 104.41 90.00
Last column: magnetic moment on the atom in μB.
Positions (direct):
Ag 0.8231 0.0288 0.6463  0.00
Tm 0.8371 0.6695 0.6742  0.04
Ag 0.1769 0.9712 0.3537  0.00
Te 0.9824 0.2007 0.9649  -0.04
Tm 0.1629 0.3305 0.3258  0.04
Te 0.3054 0.8500 0.6108  -0.01
Te 0.6946 0.1500 0.3892  -0.01
Te 0.3431 0.4795 0.6862  0.00
Te 0.0176 0.7993 0.0351  -0.04
U 0.5000 0.0000 0.0000  2.75
Ag 0.5000 0.5000 0.0000  0.00
Te 0.6569 0.5205 0.3138  0.00

energy: -55.62 eV/cell
formation energy (no corrections): -7.98 eV per formula unit
SG: No. 12
DOS(E_F): 0.310 states/eV/atom
crystal system: monoclinic

***

(3)
The following is a PBE calculation of UAg2Te5 after structural relaxation, from Alexandria via LeMat-Bulk.

abc: 5.9996 7.5150 12.4238
angles: 90.00 90.00 113.53
Last column: magnetic moment on the atom in μB.
Positions (direct):
Te 0.2954 0.5909 0.7500  0.05
Te 0.0335 0.0670 0.3711  0.04
Ag 0.8232 0.6465 0.0617  0.02
Te 0.7046 0.4091 0.2500  0.05
Te 0.3508 0.7017 0.4295  0.05
Te 0.9665 0.9330 0.6289  0.04
Te 0.6492 0.2983 0.5705  0.05
Te 0.0335 0.0670 0.1289  0.04
U 0.2161 0.4323 0.2500  -0.81
Ag 0.1768 0.3535 0.5617  0.02
Te 0.9665 0.9330 0.8711  0.04
Ag 0.1768 0.3535 0.9383  0.02
U 0.7839 0.5677 0.7500  -0.81
Ag 0.8232 0.6465 0.4383  0.02
Te 0.3508 0.7017 0.0705  0.05
Te 0.6492 0.2983 0.9295  0.05

energy: -67.77 eV/cell
formation energy (no corrections): -1.19 eV per formula unit
SG: No. 63
DOS(E_F): 0.700 states/eV/atom
crystal system: orthorhombic

***

(4)
The following is a PBE calculation of UAgTe2 after structural relaxation, from Alexandria via LeMat-Bulk.

abc: 3.7605 3.7605 7.3246
angles: 90.00 90.00 90.00
Last column: magnetic moment on the atom in μB.
Positions (direct):
Te 0.0000 0.0000 0.7598  -0.09
Ag 0.5000 0.5000 0.5000  0.04
U 0.5000 0.5000 0.0000  2.34
Te 0.0000 0.0000 0.2402  -0.09

energy: -21.54 eV/cell
formation energy (no corrections): -1.12 eV per formula unit
SG: No. 123
DOS(E_F): 1.525 states/eV/atom
crystal system: tetragonal

***

(5)
The following is a PBE calculation of UAgTe4 after structural relaxation, from Alexandria via LeMat-Bulk.

abc: 5.7846 7.8462 9.4632
angles: 90.00 90.00 111.68
Last column: magnetic moment on the atom in μB.
Positions (direct):
Ag 0.7338 0.9661 0.7500  0.00
Te 0.8964 0.2937 0.5636  -0.02
U 0.0725 0.6444 0.7500  0.30
Te 0.4552 0.4110 0.2500  -0.03
Ag 0.2662 0.0339 0.2500  0.00
U 0.9275 0.3556 0.2500  0.30
Te 0.2725 0.0434 0.7500  -0.02
Te 0.8964 0.2937 0.9364  -0.02
Te 0.7275 0.9566 0.2500  -0.02
Te 0.1036 0.7063 0.4364  -0.02
Te 0.1036 0.7063 0.0636  -0.02
Te 0.5448 0.5890 0.7500  -0.03

energy: -56.04 eV/cell
formation energy (no corrections): -1.32 eV per formula unit
SG: No. 11
DOS(E_F): 0.598 states/eV/atom
crystal system: monoclinic

***

(6)
The following is a PBE calculation of UAg3Te4 after structural relaxation, from Alexandria via LeMat-Bulk.

abc: 6.0482 8.6239 10.0076
angles: 90.00 90.00 90.00
Last column: magnetic moment on the atom in μB.
Positions (direct):
Te 0.0657 0.3376 0.7390  -0.06
Ag 0.0659 0.6700 0.7451  -0.02
Ag 0.5659 0.3300 0.2451  -0.02
Ag 0.0659 0.6700 0.2549  -0.02
U 0.0666 0.1680 0.0000  2.24
Ag 0.5659 0.3300 0.7549  -0.02
Ag 0.0577 0.1553 0.5000  -0.02
Te 0.0663 0.8304 0.5000  -0.06
Te 0.0616 0.8208 0.0000  -0.05
U 0.5666 0.8320 0.5000  2.24
Te 0.5657 0.6624 0.2390  -0.06
Te 0.5616 0.1792 0.5000  -0.05
Te 0.0657 0.3376 0.2610  -0.06
Te 0.5663 0.1696 0.0000  -0.06
Ag 0.5577 0.8447 0.0000  -0.02
Te 0.5657 0.6624 0.7610  -0.06

energy: -67.32 eV/cell
formation energy (no corrections): -1.25 eV per formula unit
SG: No. 31
DOS(E_F): 1.044 states/eV/atom
polymorph energy (0 for the lowest one): 24 meV per atom
crystal system: orthorhombic

***

(7)
The following is a PBE calculation of UAg2Te4 after structural relaxation, from Alexandria via LeMat-Bulk.

abc: 9.1338 8.2113 8.2113
angles: 66.07 56.21 56.21
Last column: magnetic moment on the atom in μB.
Positions (direct):
Te 0.3394 0.2130 0.7130  -0.05
U 0.5000 0.5000 0.0000  1.61
Te 0.7957 0.2315 0.1771  -0.07
U 0.0000 0.5000 0.0000  1.61
Te 0.6606 0.7870 0.2870  -0.05
Te 0.7345 0.2130 0.7130  -0.05
Te 0.7957 0.6771 0.7315  -0.07
Ag 0.9859 0.7641 0.2641  -0.01
Te 0.2043 0.3229 0.2685  -0.07
Ag 0.5000 0.5000 0.5000  -0.01
Te 0.2043 0.7685 0.8229  -0.07
Ag 0.0141 0.2359 0.7359  -0.01
Ag 0.5000 0.0000 0.0000  -0.01
Te 0.2655 0.7870 0.2870  -0.05

energy: -62.71 eV/cell
formation energy (no corrections): -1.80 eV per formula unit
SG: No. 74
DOS(E_F): 1.114 states/eV/atom
crystal system: orthorhombic

***

(8)
The following is a PBE calculation of UAgTe2 after structural relaxation, from Alexandria via LeMat-Bulk.

abc: 3.8708 5.0559 5.0559
angles: 90.00 90.00 90.00
Last column: magnetic moment on the atom in μB.
Positions (direct):
Te 0.0000 0.5000 0.0000  -0.08
U 0.5000 0.0000 0.0000  2.43
Te 0.0000 0.0000 0.5000  -0.08
Ag 0.5000 0.5000 0.5000  -0.01

energy: -21.69 eV/cell
formation energy (no corrections): -1.27 eV per formula unit
SG: No. 123
DOS(E_F): 1.793 states/eV/atom
crystal system: tetragonal

***

(9)
The following is a PBE calculation of UAg2Te6 after structural relaxation, from Alexandria via LeMat-Bulk.

abc: 6.5032 6.5032 8.9622
angles: 68.73 68.73 60.00
Last column: magnetic moment on the atom in μB.
Positions (direct):
Te 0.5920 0.9757 0.2719  -0.04
Ag 0.7276 0.7276 0.8171  -0.01
Te 0.3332 0.1651 0.7329  -0.04
Te 0.9757 0.1604 0.2719  -0.04
Te 0.1651 0.7688 0.7329  -0.04
Te 0.7688 0.3332 0.7329  -0.04
Ag 0.6114 0.6114 0.1659  -0.01
U 0.3314 0.3314 0.0057  1.66
Te 0.1604 0.5920 0.2719  -0.04

energy: -35.96 eV/cell
formation energy (no corrections): -0.12 eV per formula unit
SG: No. 146
DOS(E_F): 0.805 states/eV/atom
crystal system: trigonal

***

(10)
The following is a PBE calculation of UAgTe2 after structural relaxation, from Alexandria via LeMat-Bulk.

abc: 4.2433 4.2433 9.4127
angles: 76.97 76.97 60.00
Last column: magnetic moment on the atom in μB.
Positions (direct):
U 0.5000 0.5000 0.5000  2.62
Te 0.0978 0.0978 0.7067  -0.07
Te 0.9022 0.9022 0.2933  -0.07
Ag 0.0000 0.0000 0.0000  0.02

energy: -21.50 eV/cell
formation energy (no corrections): -1.07 eV per formula unit
SG: No. 166
DOS(E_F): 0.865 states/eV/atom
crystal system: trigonal

***

(11)
The following is a PBE calculation of UAgTe2 after structural relaxation, from Alexandria via LeMat-Bulk.

abc: 4.1959 4.1959 7.8974
angles: 74.59 74.59 60.00
Last column: magnetic moment on the atom in μB.
Positions (direct):
Ag 0.6647 0.6647 0.0060  -0.01
U 0.5013 0.5013 0.4962  2.69
Te 0.0793 0.0793 0.7622  -0.07
Te 0.2548 0.2548 0.2357  -0.07

energy: -21.70 eV/cell
formation energy (no corrections): -1.28 eV per formula unit
SG: No. 160
DOS(E_F): 1.063 states/eV/atom
crystal system: trigonal

***

(12)
The following is a PBE calculation of UAgTe after structural relaxation, from Alexandria via LeMat-Bulk.

abc: 3.7757 3.7757 11.9607
angles: 80.92 80.92 60.00
Positions (direct):
Ag 0.3074 0.3074 0.0779
Te 0.5799 0.5799 0.2604
U 0.1465 0.1465 0.5606
Ag 0.6926 0.6926 0.9221
Te 0.4201 0.4201 0.7396
U 0.8535 0.8535 0.4394

energy: -35.48 eV/cell
formation energy (no corrections): -0.46 eV per formula unit
SG: No. 166
DOS(E_F): 1.250 states/eV/atom
crystal system: trigonal

***

> Which of these has the lowest formation energy (no corrections)?

Tm3UAg3Te8